Below is crystalline MnCuI3 at its relaxed geometry, with properties calculated at the PBEsol level.

## Properties
magnetic moment: 1.14 μB per atom
raw formation energy: 2.24 eV/f.u.
DOS at the Fermi energy: 0.47 states/eV per atom
calculated density: 5.580 g cm⁻³
V: 29.7 A^3/atom

Lattice parameters (Å, degrees): 5.2960 5.2960 5.2960 90.00 90.00 90.00
Last column: magnetic moment on the atom in μB.
Positions (direct):
1 Cu 0.0000 0.0000 0.0000  0.02
2 I 0.0000 0.5000 0.0000  0.06
3 I 0.0000 0.0000 0.5000  0.06
4 I 0.5000 0.0000 0.0000  0.06
5 Mn 0.5000 0.5000 0.5000  4.75